1.
# CdSiW2

A relaxed structure of CdSiW2 (GGA-PBE, Alexandria).

Calculated values
Magnetic moment in Bohr magnetons per cell: 0.0
SG: I-42d, No. 122
Excess energy over the best structure of this formula in the dataset in eV/atom: 0.4974
Raw total energy in hartree per atom: -0.2648
Crystal system: tetragonal

a = 3.8403 Å, b = 3.8403 Å, c = 10.0977 Å
α = 79.04°, β = 79.04°, γ = 90.00°
Atoms (fractional coordinates):
1 Si 0.5000 0.5000 0.0000
2 Si 0.2500 0.7500 0.5000
3 W 0.5953 0.1250 0.2500
4 W 0.1547 0.6250 0.2500
5 W 0.3750 0.4047 0.7500
6 W 0.8750 0.8453 0.7500
7 Cd 0.0000 0.0000 0.0000
8 Cd 0.7500 0.2500 0.5000

=====

2.
# ScCuNF2

A relaxed structure of ScCuNF2 (GGA-PBE, Alexandria).

Calculated values
Magnetic moment in Bohr magnetons per cell: 0.7
SG: P4/mmm, No. 123
Excess energy over the best structure of this formula in the dataset in eV/atom: 0.0000
Raw total energy in hartree per atom: -0.2163
Crystal system: tetragonal

a = 3.9603 Å, b = 3.9603 Å, c = 4.4111 Å
α = 90.00°, β = 90.00°, γ = 90.00°
Site moments in Bohr magnetons follow the coordinates.
Atoms (fractional coordinates):
1 Sc 0.0000 0.0000 0.0000  0.01
2 N 0.0000 0.0000 0.5000  0.45
3 Cu 0.5000 0.5000 0.5000  0.11
4 F 0.0000 0.5000 0.0000  0.00
5 F 0.5000 0.0000 0.0000  0.00

=====

3.
# Hg2OsRh

A relaxed structure of Hg2OsRh (GGA-PBE, Alexandria).

Calculated values
Magnetic moment in Bohr magnetons per cell: 0.6
SG: Pmmm, No. 47
Excess energy over the best structure of this formula in the dataset in eV/atom: 0.3799
Energy of formation in eV/atom: 0.7178
Raw total energy in hartree per atom: -0.1499
Crystal system: orthorhombic

a = 2.9019 Å, b = 4.8215 Å, c = 5.0232 Å
α = 90.00°, β = 90.00°, γ = 90.00°
Site moments in Bohr magnetons follow the coordinates.
Atoms (fractional coordinates):
1 Hg 0.0000 0.0000 0.0000  0.00
2 Hg 0.5000 0.0000 0.5000  0.00
3 Os 0.5000 0.5000 0.0000  0.44
4 Rh 0.0000 0.5000 0.5000  0.15

=====

> Among the records above, which one has the highest excess energy over the best structure of this formula in the dataset?

CdSiW2

=====

> Among the records above, which one has the lowest magnetic moment?

CdSiW2

=====

Copy entry 3 word for word.
# Hg2OsRh

A relaxed structure of Hg2OsRh (GGA-PBE, Alexandria).

Calculated values
Magnetic moment in Bohr magnetons per cell: 0.6
SG: Pmmm, No. 47
Excess energy over the best structure of this formula in the dataset in eV/atom: 0.3799
Energy of formation in eV/atom: 0.7178
Raw total energy in hartree per atom: -0.1499
Crystal system: orthorhombic

a = 2.9019 Å, b = 4.8215 Å, c = 5.0232 Å
α = 90.00°, β = 90.00°, γ = 90.00°
Site moments in Bohr magnetons follow the coordinates.
Atoms (fractional coordinates):
1 Hg 0.0000 0.0000 0.0000  0.00
2 Hg 0.5000 0.0000 0.5000  0.00
3 Os 0.5000 0.5000 0.0000  0.44
4 Rh 0.0000 0.5000 0.5000  0.15